Hg2TeIr | PBE | optimized geometry

a b c (Å): 3.7252 6.2258 6.2191
angles (deg): 50.22 90.00 90.00
Last column: nearest neighbours and their distance in Å.
Atoms (fractional coordinates):
Ir1 0.0000 0.5170 0.5176  2 Te 2.53, 4 Hg 2.67-2.81
Hg1 0.0000 0.9819 0.9821  2 Ir 2.67
Hg2 0.5000 0.3314 0.3305  2 Ir 2.81
Te1 0.5000 0.6697 0.6698  2 Ir 2.53

Output
**Formation energy (no corrections)**: 11.3 kJ per mole of atoms
**Total magnetic moment**: 0.00 μB per atom

---

Hg2TeIr | PBE | optimized geometry

a b c (Å): 3.2340 5.0475 5.2046
angles (deg): 90.00 90.00 90.00
Last column: nearest neighbours and their distance in Å.
Atoms (fractional coordinates):
Hg1 0.0000 0.0000 0.0000  6 Hg 3.00-3.23, 4 Ir 3.06
Hg2 0.5000 0.5000 0.0000  6 Hg 3.00-3.23, 4 Te 3.06
Te1 0.0000 0.5000 0.5000  4 Ir 3.00, 4 Hg 3.06, 2 Te 3.23
Ir1 0.5000 0.0000 0.5000  4 Te 3.00, 4 Hg 3.06, 2 Ir 3.23

Output
**Formation energy (no corrections)**: 53.8 kJ per mole of atoms
**Total magnetic moment**: 0.00 μB per atom

---

HgTe2Ir | PBE | optimized geometry

a b c (Å): 4.0052 5.6538 5.6549
angles (deg): 57.89 90.00 90.00
Last column: nearest neighbours and their distance in Å.
Atoms (fractional coordinates):
Te1 0.0000 0.5766 0.5765  2 Ir 2.64
Te2 0.0000 0.9234 0.9235  2 Ir 2.64
Hg1 0.5000 0.2500 0.2500  2 Ir 2.74
Ir1 0.5000 0.7500 0.7500  4 Te 2.64, 2 Hg 2.74

Output
**Formation energy (no corrections)**: -10.2 kJ per mole of atoms
**Total magnetic moment**: 0.00 μB per atom

---

HgTe2Ir2 | PBE | optimized geometry

a b c (Å): 5.1986 5.1986 5.5495
angles (deg): 62.07 62.07 90.00
Last column: nearest neighbours and their distance in Å.
Atoms (fractional coordinates):
Hg1 0.0000 0.0000 0.0000  2 Ir 2.89
Te1 0.7500 0.2500 0.5000  4 Ir 2.72
Te2 0.2500 0.7500 0.5000  4 Ir 2.72
Ir1 0.3471 0.3471 0.3058  1 Ir 2.54, 4 Te 2.72
Ir2 0.6529 0.6529 0.6942  1 Ir 2.54, 4 Te 2.72

Output
**Formation energy (no corrections)**: 21.4 kJ per mole of atoms
**Total magnetic moment**: 0.00 μB per atom

---

VHgTeIr2 | PBE | optimized geometry

a b c (Å): 4.8823 4.8125 4.8823
angles (deg): 90.00 90.00 90.00
Last column: nearest neighbours and their distance in Å.
Atoms (fractional coordinates):
Ir1 0.0000 0.0000 0.5000  2 Te 2.44
Ir2 0.5000 0.0000 0.0000  2 Te 2.44
Te1 0.0000 0.0000 0.0000  2 V 2.41, 4 Ir 2.44
Hg1 0.5000 0.5000 0.5000  8 Ir 3.43, 4 V 3.45
V1 0.0000 0.5000 0.0000  2 Te 2.41

Output
**Formation energy (no corrections)**: 137.0 kJ per mole of atoms
**Total magnetic moment**: 0.12 μB per atom

---

Th3Hg2Ir | PBE | optimized geometry

a b c (Å): 3.9322 6.1618 8.1997
angles (deg): 112.07 103.87 90.00
Last column: nearest neighbours and their distance in Å.
Atoms (fractional coordinates):
Th1 0.3661 0.3661 0.7322  2 Ir 2.78
Th2 0.6339 0.6339 0.2678  2 Ir 2.78
Th3 0.0000 0.0000 0.0000  2 Ir 3.08, 4 Hg 3.36
Hg1 0.3141 0.8141 0.6281  6 Th 3.17-3.36
Hg2 0.6859 0.1859 0.3719  6 Th 3.17-3.36
Ir1 0.0000 0.5000 0.0000  6 Th 2.78-3.08

Output
**Energy of formation**: -0.375 eV/atom
**Total magnetic moment**: 0.00 μB per atom

---

Th3HgIr | PBE | optimized geometry

a b c (Å): 5.7950 7.5591 7.3925
angles (deg): 90.00 90.00 117.20
Last column: nearest neighbours and their distance in Å.
Atoms (fractional coordinates):
Ir1 0.9241 0.0249 0.7500  6 Th 2.76-3.01, 1 Hg 2.96
Ir2 0.0759 0.9751 0.2500  6 Th 2.76-3.01, 1 Hg 2.96
Hg1 0.3962 0.6865 0.7500  1 Ir 2.96, 3 Th 3.25-3.29
Hg2 0.6038 0.3135 0.2500  1 Ir 2.96, 3 Th 3.25-3.29
Th1 0.4966 0.1464 0.7500  2 Ir 3.01, 1 Hg 3.25
Th2 0.8991 0.6954 0.9777  2 Ir 2.76-2.95
Th3 0.1009 0.3046 0.4777  2 Ir 2.76-2.95
Th4 0.5034 0.8536 0.2500  2 Ir 3.01, 1 Hg 3.25
Th5 0.8991 0.6954 0.5223  2 Ir 2.76-2.95
Th6 0.1009 0.3046 0.0223  2 Ir 2.76-2.95

Output
**Energy of formation**: -0.372 eV/atom
**Total magnetic moment**: 0.00 μB per atom

---

Th2HgIr | PBE | optimized geometry

a b c (Å): 4.1020 4.1020 8.3316
angles (deg): 90.01 104.26 119.96
Last column: nearest neighbours and their distance in Å.
Atoms (fractional coordinates):
Hg1 0.0000 0.5000 0.5000  6 Th 3.37
Th1 0.5330 0.2664 0.7994  3 Ir 2.86
Th2 0.4670 0.7336 0.2006  3 Ir 2.86
Ir1 0.0000 0.0000 0.0000  6 Th 2.86

Output
**Energy of formation**: -0.610 eV/atom
**Total magnetic moment**: 0.00 μB per atom

---

Repeat the eighth record exactly.
Th2HgIr | PBE | optimized geometry

a b c (Å): 4.1020 4.1020 8.3316
angles (deg): 90.01 104.26 119.96
Last column: nearest neighbours and their distance in Å.
Atoms (fractional coordinates):
Hg1 0.0000 0.5000 0.5000  6 Th 3.37
Th1 0.5330 0.2664 0.7994  3 Ir 2.86
Th2 0.4670 0.7336 0.2006  3 Ir 2.86
Ir1 0.0000 0.0000 0.0000  6 Th 2.86

Output
**Energy of formation**: -0.610 eV/atom
**Total magnetic moment**: 0.00 μB per atom